Record 1
Material: Er6GeTe3Pt2
Method: DFT, PBE-GGA
State: optimized geometry

Structure (CIF):
```
data_Er6GeTe3Pt2
_chemical_formula_sum 'Er6 Ge1 Te3 Pt2'
_symmetry_space_group_name_H-M 'P 1'
_symmetry_Int_Tables_number 1
_cell_length_a 7.1718
_cell_length_b 7.1718
_cell_length_c 7.6104
_cell_angle_alpha 99.13
_cell_angle_beta 99.13
_cell_angle_gamma 120.15
loop_
_symmetry_equiv_pos_as_xyz
'x,y,z'
loop_
_atom_site_label
_atom_site_fract_x
_atom_site_fract_y
_atom_site_fract_z
_atom_site_occupancy
Er1 0.0895 0.4287 0.7838 1
Er2 0.2328 0.2328 0.2153 1
Er3 0.4287 0.0895 0.7838 1
Er4 0.5713 0.9105 0.2162 1
Er5 0.7672 0.7672 0.7847 1
Er6 0.9105 0.5713 0.2162 1
Ge1 0.5000 0.5000 0.0000 1
Te1 0.0000 0.0000 0.5000 1
Te2 0.3361 0.6639 0.5000 1
Te3 0.6639 0.3361 0.5000 1
Pt1 0.1671 0.8329 0.0000 1
Pt2 0.8329 0.1671 0.0000 1
```

Calculated values
Space-group type ... C2/m, No. 12
Crystal system ... monoclinic
Energy relative to the elements, uncorrected ... -14.35 eV per formula unit

***

Record 2
Material: NaHo2Ru
Method: DFT, PBE-GGA
State: optimized geometry

Structure (CIF):
```
data_NaHo2Ru
_chemical_formula_sum 'Na1 Ho2 Ru1'
_symmetry_space_group_name_H-M 'P 1'
_symmetry_Int_Tables_number 1
_cell_length_a 9.4994
_cell_length_b 9.4994
_cell_length_c 9.4994
_cell_angle_alpha 23.94
_cell_angle_beta 23.94
_cell_angle_gamma 23.94
loop_
_symmetry_equiv_pos_as_xyz
'x,y,z'
loop_
_atom_site_label
_atom_site_fract_x
_atom_site_fract_y
_atom_site_fract_z
_atom_site_occupancy
Na1 0.0000 0.0000 0.0000 1
Ho1 0.2199 0.2199 0.2199 1
Ho2 0.7801 0.7801 0.7801 1
Ru1 0.5000 0.5000 0.5000 1
```

Calculated values
Space-group type ... R-3m, No. 166
E_form ... -0.31 eV/f.u.
Relative energy among the computed polymorphs ... 0.156 eV per atom
Crystal system ... trigonal

***

Record 3
Material: Y4Cu3Ag
Method: DFT, PBE-GGA
State: optimized geometry

Structure (CIF):
```
data_Y4Cu3Ag
_chemical_formula_sum 'Y4 Cu3 Ag1'
_symmetry_space_group_name_H-M 'P 1'
_symmetry_Int_Tables_number 1
_cell_length_a 3.5192
_cell_length_b 5.0065
_cell_length_c 9.9759
_cell_angle_alpha 90.00
_cell_angle_beta 90.00
_cell_angle_gamma 90.00
loop_
_symmetry_equiv_pos_as_xyz
'x,y,z'
loop_
_atom_site_label
_atom_site_fract_x
_atom_site_fract_y
_atom_site_fract_z
_atom_site_occupancy
Y1 0.0000 0.0000 0.0000 1
Y2 0.0000 0.0000 0.5000 1
Y3 0.0000 0.5000 0.2408 1
Y4 0.0000 0.5000 0.7592 1
Cu1 0.5000 0.0000 0.2494 1
Cu2 0.5000 0.0000 0.7506 1
Cu3 0.5000 0.5000 0.0000 1
Ag1 0.5000 0.5000 0.5000 1
```

Calculated values
Space-group type ... Pmmm, No. 47
E_form ... -2.04 eV/f.u.
Crystal system ... orthorhombic

***

| no. | calculated volume (Å³ per cell) |
| --- | --- |
| 1 | 320.9 |
| 2 | 124.0 |
| 3 | 175.8 |